Entry 1:
Crystalline Er2SbPt9 at its relaxed geometry, computed with PBE.

Calculated values
Symmetry = P4/mmm (123)
Total DFT energy (no corrections) = -6.42 eV/atom
Magnetization = 0.00 μB per formula unit
ΔE_f (raw) = -790 meV per atom

abc: 4.0920 4.0920 12.2910
angles: 90.00 90.00 90.00
Atoms (fractional coordinates):
Er1 0.0000 0.0000 0.3357
Er2 0.0000 0.0000 0.6643
Sb1 0.0000 0.0000 0.0000
Pt1 0.5000 0.5000 0.0000
Pt2 0.5000 0.5000 0.3307
Pt3 0.5000 0.5000 0.6693
Pt4 0.5000 0.0000 0.1645
Pt5 0.5000 0.0000 0.5000
Pt6 0.5000 0.0000 0.8355
Pt7 0.0000 0.5000 0.1645
Pt8 0.0000 0.5000 0.5000
Pt9 0.0000 0.5000 0.8355



Entry 2:
Crystalline Ba2ScBr at its relaxed geometry, computed with PBE.

Calculated values
Symmetry = I4/mmm (139)
Total DFT energy (no corrections) = -3.05 eV/atom
Magnetization = 3.40 μB per formula unit
Energy above the lowest structure with this stoichiometry = 421 meV/atom
ΔE_f (raw) = -85 meV per atom

abc: 6.4726 6.4726 6.4726
angles: 127.30 127.30 77.75
Site moments in Bohr magnetons follow the coordinates.
Atoms (fractional coordinates):
Ba1 0.0000 0.0000 0.0000  0.25
Ba2 0.5000 0.5000 0.0000  0.25
Br1 0.2500 0.7500 0.5000  0.03
Sc1 0.7500 0.2500 0.5000  1.02



Entry 3:
Crystalline Nd2SmBr8 at its relaxed geometry, computed with PBE.

Calculated values
Symmetry = C2/m (12)
Total DFT energy (no corrections) = -4.14 eV/atom
Magnetization = 1.08 μB per formula unit
ΔE_f (raw) = -1627 meV per atom

abc: 5.9871 7.9565 7.9565
angles: 112.18 99.82 99.82
Site moments in Bohr magnetons follow the coordinates.
Atoms (fractional coordinates):
Nd1 0.0000 0.3116 0.6884  0.13
Nd2 0.0000 0.6884 0.3116  0.13
Sm1 0.5000 0.0000 0.0000  0.36
Br1 0.9097 0.9272 0.6707  0.00
Br2 0.9097 0.6707 0.9272  0.00
Br3 0.3211 0.6393 0.6393  0.00
Br4 0.5000 0.7771 0.2229  0.00
Br5 0.5000 0.2229 0.7771  0.00
Br6 0.6789 0.3607 0.3607  0.00
Br7 0.0903 0.3293 0.0728  0.00
Br8 0.0903 0.0728 0.3293  0.00



Entry 4:
Crystalline Tb5Sm2HoIn at its relaxed geometry, computed with PBE.

Calculated values
Symmetry = Cmc2_1 (36)
Total DFT energy (no corrections) = -4.45 eV/atom
Energy of formation = -0.011 eV/atom
Magnetization = 0.00 μB per formula unit

abc: 5.3967 10.4172 10.5855
angles: 90.00 90.00 105.01
Atoms (fractional coordinates):
Tb1 0.3833 0.7666 0.0083
Tb2 0.7104 0.4209 0.8093
Tb3 0.4999 0.9998 0.7580
Tb4 0.2901 0.5801 0.7075
Tb5 0.9869 0.9737 0.5083
Tb6 0.6167 0.2334 0.5083
Tb7 0.2896 0.5791 0.3093
Tb8 0.5001 0.0002 0.2580
Tb9 0.7099 0.4199 0.2075
Tb10 0.0131 0.0263 0.0083
Sm1 0.8839 0.7679 0.8012
Sm2 0.1163 0.2326 0.7154
Sm3 0.1161 0.2321 0.3012
Sm4 0.8837 0.7674 0.2154
Ho1 0.7936 0.5871 0.5084
Ho2 0.2064 0.4129 0.0084
In1 0.5954 0.1908 0.0077
In2 0.4046 0.8092 0.5077